No. 1
# VSi3Os, relaxed, DFT PBE
data_VSi3Os
_cell_length_a 4.634
_cell_length_b 4.634
_cell_length_c 4.634
_cell_angle_alpha 90.00
_cell_angle_beta 90.00
_cell_angle_gamma 90.00
_space_group_name_H-M_alt 'P m -3 m'
_space_group_IT_number 221
_space_group_name_Hall '-P 4 2 3'
loop_
_atom_site_label
_atom_site_type_symbol
_atom_site_fract_x
_atom_site_fract_y
_atom_site_fract_z
V1 V 0.000 0.000 0.000
Si1 Si 0.000 0.500 0.500
Os1 Os 0.500 0.500 0.500
# - crystal system = cubic
# - V (Å³/f.u.) = 99.5
# - uncorrected formation energy (eV per atom) = 0.8807

---

No. 2
# VSiOs2, relaxed, DFT PBE
data_VSiOs2
_cell_length_a 4.425
_cell_length_b 4.842
_cell_length_c 5.088
_cell_angle_alpha 90.00
_cell_angle_beta 90.00
_cell_angle_gamma 90.00
_space_group_name_H-M_alt 'P m a 2'
_space_group_IT_number 28
loop_
_space_group_symop_operation_xyz
'x,y,z'
'-x,-y,z'
'-x+1/2,y,z'
'x+1/2,-y,z'
loop_
_atom_site_label
_atom_site_type_symbol
_atom_site_fract_x
_atom_site_fract_y
_atom_site_fract_z
V1 V 0.250 0.168 0.000
Si1 Si 0.250 0.670 0.266
Os1 Os 0.250 0.178 0.477
Os2 Os 0.250 0.663 0.777
# - crystal system = orthorhombic
# - V (Å³/f.u.) = 54.5
# - uncorrected formation energy (eV per atom) = -0.2824

---

No. 3
# V2SiOs2, relaxed, DFT PBE
data_V2SiOs2
_cell_length_a 7.252
_cell_length_b 7.252
_cell_length_c 2.833
_cell_angle_alpha 90.00
_cell_angle_beta 90.00
_cell_angle_gamma 90.00
_space_group_name_H-M_alt 'P 4/m b m'
_space_group_IT_number 127
_space_group_name_Hall '-P 4 2ab'
loop_
_atom_site_label
_atom_site_type_symbol
_atom_site_fract_x
_atom_site_fract_y
_atom_site_fract_z
V1 V 0.150 0.350 0.000
Si1 Si 0.000 0.000 0.000
Os1 Os 0.142 0.642 0.500
# - crystal system = tetragonal
# - V (Å³/f.u.) = 74.5
# - uncorrected formation energy (eV per atom) = 0.1995

---

No. 4
# V2SiOs2, relaxed, DFT PBE
data_V2SiOs2
_cell_length_a 7.147
_cell_length_b 7.147
_cell_length_c 2.881
_cell_angle_alpha 90.00
_cell_angle_beta 90.00
_cell_angle_gamma 90.00
_space_group_name_H-M_alt 'P 4/m b m'
_space_group_IT_number 127
_space_group_name_Hall '-P 4 2ab'
loop_
_atom_site_label
_atom_site_type_symbol
_atom_site_fract_x
_atom_site_fract_y
_atom_site_fract_z
V1 V 0.158 0.342 0.000
Si1 Si 0.000 0.000 0.500
Os1 Os 0.138 0.638 0.500
# - crystal system = tetragonal
# - V (Å³/f.u.) = 73.6
# - uncorrected formation energy (eV per atom) = 0.0422

---

No. 5
# VSiOs2, relaxed, DFT PBE
data_VSiOs2
_cell_length_a 2.957
_cell_length_b 2.957
_cell_length_c 6.092
_cell_angle_alpha 90.00
_cell_angle_beta 90.00
_cell_angle_gamma 90.00
_space_group_name_H-M_alt 'P 4/m m m'
_space_group_IT_number 123
_space_group_name_Hall '-P 4 2'
loop_
_atom_site_label
_atom_site_type_symbol
_atom_site_fract_x
_atom_site_fract_y
_atom_site_fract_z
V1 V 0.000 0.000 0.000
Si1 Si 0.000 0.000 0.500
Os1 Os 0.500 0.500 0.264
# - crystal system = tetragonal
# - V (Å³/f.u.) = 53.2
# - uncorrected formation energy (eV per atom) = -0.3505

---

No. 6
# V2Si2Os, relaxed, DFT PBE
data_V2Si2Os
_cell_length_a 6.354
_cell_length_b 6.354
_cell_length_c 3.258
_cell_angle_alpha 90.00
_cell_angle_beta 90.00
_cell_angle_gamma 90.00
_space_group_name_H-M_alt 'P 4/m b m'
_space_group_IT_number 127
_space_group_name_Hall '-P 4 2ab'
loop_
_atom_site_label
_atom_site_type_symbol
_atom_site_fract_x
_atom_site_fract_y
_atom_site_fract_z
V1 V 0.166 0.334 0.000
Si1 Si 0.132 0.632 0.500
Os1 Os 0.000 0.000 0.500
# - crystal system = tetragonal
# - V (Å³/f.u.) = 65.8
# - uncorrected formation energy (eV per atom) = -0.4081

---

No. 7
# VSiOsW, relaxed, DFT PBE
data_VSiOsW
_cell_length_a 6.048
_cell_length_b 6.048
_cell_length_c 6.048
_cell_angle_alpha 90.00
_cell_angle_beta 90.00
_cell_angle_gamma 90.00
_space_group_name_H-M_alt 'F -4 3 m'
_space_group_IT_number 216
_space_group_name_Hall 'F -4 2 3'
loop_
_atom_site_label
_atom_site_type_symbol
_atom_site_fract_x
_atom_site_fract_y
_atom_site_fract_z
V1 V 0.000 0.000 0.000
Si1 Si 0.000 0.000 0.500
Os1 Os 0.250 0.250 0.750
W1 W 0.250 0.250 0.250
# - crystal system = cubic
# - V (Å³/f.u.) = 55.3
# - uncorrected formation energy (eV per atom) = -0.1874

---

No. 8
# ZrVSi2Os, relaxed, DFT PBE
data_ZrVSi2Os
_cell_length_a 4.930
_cell_length_b 4.930
_cell_length_c 4.855
_cell_angle_alpha 90.00
_cell_angle_beta 90.00
_cell_angle_gamma 90.00
_space_group_name_H-M_alt 'P 4/m m m'
_space_group_IT_number 123
_space_group_name_Hall '-P 4 2'
loop_
_atom_site_label
_atom_site_type_symbol
_atom_site_fract_x
_atom_site_fract_y
_atom_site_fract_z
Zr1 Zr 0.000 0.000 0.000
V1 V 0.500 0.500 0.500
Si1 Si 0.000 0.500 0.000
Os1 Os 0.000 0.000 0.500
# - crystal system = tetragonal
# - V (Å³/f.u.) = 118.0
# - uncorrected formation energy (eV per atom) = 1.6212

---

Among the records above, which one has the lowest uncorrected formation energy? V2Si2Os

---

The highest V belongs to which entry? ZrVSi2Os

---

uncorrected formation energy of number 5 (VSiOs2)? -0.3505 eV per atom